No. 1
CaAc2Nd3As6 | PBE | relaxed Values from VASP.

The structure in Quantum ESPRESSO input format:
```
&SYSTEM
  ibrav = 0, nat = 12, ntyp = 4
/
ATOMIC_SPECIES
Ca 40.08 Ca.upf
Ac 227.00 Ac.upf
Nd 144.24 Nd.upf
As 74.92 As.upf
CELL_PARAMETERS angstrom
9.560 -2.186 0.000
9.560 2.186 0.000
-2.100 0.000 8.512
ATOMIC_POSITIONS angstrom
Ca 0.000 0.000 0.000
Ac 5.012 0.000 5.723
Ac 12.009 0.000 2.789
Nd -1.050 0.000 4.256
Nd 6.033 0.000 1.409
Nd 10.988 0.000 7.102
As 1.899 0.000 5.026
As 3.055 0.000 0.621
As 8.947 0.000 2.158
As 8.073 0.000 6.353
As 13.965 0.000 7.891
As 15.122 0.000 3.486
```

Results
E_form   -1.3772 eV/atom
Space-group type   No. 12
Electronic total energy   -5.75 eV/atom
Total moment   0.0 Bohr magnetons per cell



No. 2
InTePCl2 | PBE | relaxed Values from VASP.

The structure in Quantum ESPRESSO input format:
```
&SYSTEM
  ibrav = 0, nat = 5, ntyp = 4
/
ATOMIC_SPECIES
In 114.82 In.upf
Te 127.60 Te.upf
P 30.97 P.upf
Cl 35.45 Cl.upf
CELL_PARAMETERS angstrom
5.709 0.000 0.000
0.000 5.709 0.000
0.000 0.000 5.389
ATOMIC_POSITIONS angstrom
In 0.000 0.000 0.000
Te 2.854 2.854 2.694
P 2.854 2.854 0.000
Cl 0.000 2.854 2.694
Cl 2.854 0.000 2.694
```

Results
Distance to the lowest polymorph of the same formula   0 kJ/mol of formula units
Space-group type   No. 123
Electronic total energy   -2.90 eV/atom
Total moment   0.0 Bohr magnetons per cell



No. 3
BeTePd | PBE | relaxed Values from VASP.

The structure in Quantum ESPRESSO input format:
```
&SYSTEM
  ibrav = 0, nat = 12, ntyp = 3
/
ATOMIC_SPECIES
Be 9.01 Be.upf
Te 127.60 Te.upf
Pd 106.42 Pd.upf
CELL_PARAMETERS angstrom
7.794 0.000 0.000
0.000 3.822 0.000
-3.333 0.000 7.812
ATOMIC_POSITIONS angstrom
Be 0.637 0.000 0.975
Be -0.073 1.911 6.837
Be 4.534 1.911 0.975
Be 3.824 0.000 6.837
Te -0.287 1.911 2.412
Te 0.852 0.000 5.400
Te 3.610 0.000 2.412
Te 4.749 1.911 5.400
Pd -1.593 0.000 6.781
Pd 2.157 1.911 1.031
Pd 2.304 1.911 6.781
Pd 6.054 0.000 1.031
```

Results
Space-group type   No. 12
Electronic total energy   -4.34 eV/atom
Total moment   0.0 Bohr magnetons per cell



No. 4
PrNd5Y3 | PBE | relaxed Values from VASP.

The structure in Quantum ESPRESSO input format:
```
&SYSTEM
  ibrav = 0, nat = 18, ntyp = 3
/
ATOMIC_SPECIES
Pr 140.91 Pr.upf
Nd 144.24 Nd.upf
Y 88.91 Y.upf
CELL_PARAMETERS angstrom
8.544 -4.154 0.000
8.544 4.154 0.000
-8.310 0.000 9.414
ATOMIC_POSITIONS angstrom
Pr 2.987 0.000 1.242
Pr 5.790 0.000 8.172
Nd -2.474 0.000 5.414
Nd 5.602 2.490 2.120
Nd 3.175 2.490 7.294
Nd -2.555 0.000 8.835
Nd 8.544 1.522 0.000
Nd 8.544 -1.522 0.000
Nd 11.332 0.000 0.579
Nd 5.602 -2.490 2.120
Nd 3.175 -2.490 7.294
Nd 11.251 0.000 4.000
Y 0.000 0.000 0.000
Y 0.222 0.000 3.242
Y 0.960 0.000 6.479
Y 4.388 0.000 4.707
Y 7.817 0.000 2.934
Y 8.555 0.000 6.172
```

Results
Distance to the lowest polymorph of the same formula   102 kJ/mol of formula units
E_form   0.3964 eV/atom
Space-group type   No. 12
Electronic total energy   -4.94 eV/atom
Total moment   0.0 Bohr magnetons per cell



No. 5
LiSmTmTl | PBE | relaxed Values from VASP.

The structure in Quantum ESPRESSO input format:
```
&SYSTEM
  ibrav = 0, nat = 16, ntyp = 4
/
ATOMIC_SPECIES
Li 6.94 Li.upf
Sm 150.36 Sm.upf
Tm 168.93 Tm.upf
Tl 204.38 Tl.upf
CELL_PARAMETERS angstrom
7.505 0.000 0.000
0.000 7.505 0.000
0.000 0.000 7.505
ATOMIC_POSITIONS angstrom
Li 0.000 0.000 0.000
Li 0.000 3.753 3.753
Li 3.753 0.000 3.753
Li 3.753 3.753 0.000
Sm 1.876 1.876 1.876
Sm 1.876 5.629 5.629
Sm 5.629 1.876 5.629
Sm 5.629 5.629 1.876
Tm 1.876 1.876 5.629
Tm 1.876 5.629 1.876
Tm 5.629 1.876 1.876
Tm 5.629 5.629 5.629
Tl 0.000 0.000 3.753
Tl 0.000 3.753 0.000
Tl 3.753 0.000 0.000
Tl 3.753 3.753 3.753
```

Results
E_form   -0.1856 eV/atom
Space-group type   No. 216
Electronic total energy   -3.55 eV/atom
Total moment   0.0 Bohr magnetons per cell



No. 6
CaPr4 | PBE | relaxed Values from VASP.

The structure in Quantum ESPRESSO input format:
```
&SYSTEM
  ibrav = 0, nat = 5, ntyp = 2
/
ATOMIC_SPECIES
Ca 40.08 Ca.upf
Pr 140.91 Pr.upf
CELL_PARAMETERS angstrom
5.878 0.000 0.000
0.000 5.878 0.000
0.000 0.000 5.878
ATOMIC_POSITIONS angstrom
Ca 0.000 0.000 0.000
Pr 0.000 0.000 2.939
Pr 0.000 2.939 0.000
Pr 2.939 0.000 0.000
Pr 2.939 2.939 2.939
```

Results
Distance to the lowest polymorph of the same formula   338 kJ/mol of formula units
E_form   0.7442 eV/atom
Space-group type   No. 221
Electronic total energy   -3.48 eV/atom
Total moment   0.0 Bohr magnetons per cell



No. 7
Rb2Ca2B | PBE | relaxed Values from VASP.

The structure in Quantum ESPRESSO input format:
```
&SYSTEM
  ibrav = 0, nat = 10, ntyp = 3
/
ATOMIC_SPECIES
Rb 85.47 Rb.upf
Ca 40.08 Ca.upf
B 10.81 B.upf
CELL_PARAMETERS angstrom
8.050 0.000 0.000
0.000 8.050 0.000
0.000 0.000 7.052
ATOMIC_POSITIONS angstrom
Rb 1.259 2.766 0.000
Rb 2.766 6.791 0.000
Rb 5.284 1.259 0.000
Rb 6.791 5.284 0.000
Ca 1.457 5.482 3.526
Ca 2.568 1.457 3.526
Ca 5.482 6.593 3.526
Ca 6.593 2.568 3.526
B 0.000 0.000 0.000
B 4.025 4.025 0.000
```

Results
Distance to the lowest polymorph of the same formula   0 kJ/mol of formula units
E_form   1.0761 eV/atom
Space-group type   No. 127
Electronic total energy   -1.45 eV/atom
Total moment   2.0 Bohr magnetons per cell



No. 8
Li2CaP | PBE | relaxed Values from VASP.

The structure in Quantum ESPRESSO input format:
```
&SYSTEM
  ibrav = 0, nat = 4, ntyp = 3
/
ATOMIC_SPECIES
Li 6.94 Li.upf
Ca 40.08 Ca.upf
P 30.97 P.upf
CELL_PARAMETERS angstrom
3.192 0.000 0.000
0.000 4.021 0.000
0.000 0.000 6.096
ATOMIC_POSITIONS angstrom
Li 0.000 0.000 1.142
Li 0.000 0.000 4.954
Ca 1.596 2.010 3.048
P 1.596 2.010 0.000
```

Results
E_form   -0.2636 eV/atom
Space-group type   No. 47
Electronic total energy   -3.07 eV/atom
Total moment   0.0 Bohr magnetons per cell



No. 9
AlGaHg | PBE | relaxed Values from VASP.

The structure in Quantum ESPRESSO input format:
```
&SYSTEM
  ibrav = 0, nat = 6, ntyp = 3
/
ATOMIC_SPECIES
Al 26.98 Al.upf
Ga 69.72 Ga.upf
Hg 200.59 Hg.upf
CELL_PARAMETERS angstrom
2.949 0.000 0.000
-1.426 6.031 0.000
-0.730 -3.014 7.056
ATOMIC_POSITIONS angstrom
Al 0.000 0.000 0.000
Al -0.757 0.645 7.036
Ga 0.733 -1.194 5.455
Ga 1.458 1.839 1.581
Hg -0.689 4.848 2.682
Hg 1.475 1.833 4.354
```

Results
E_form   0.0759 eV/atom
Space-group type   No. 1
Electronic total energy   -2.28 eV/atom
Total moment   0.0 Bohr magnetons per cell



No. 10
HfZrSc2 | PBE | relaxed Values from VASP.

The structure in Quantum ESPRESSO input format:
```
&SYSTEM
  ibrav = 0, nat = 12, ntyp = 3
/
ATOMIC_SPECIES
Hf 178.49 Hf.upf
Zr 91.22 Zr.upf
Sc 44.96 Sc.upf
CELL_PARAMETERS angstrom
3.213 0.000 0.000
-1.606 2.782 0.000
0.000 0.000 31.254
ATOMIC_POSITIONS angstrom
Hf 0.000 0.000 0.000
Hf 0.000 1.855 20.836
Hf 1.606 0.927 10.418
Zr 0.000 0.000 26.092
Zr 0.000 1.855 15.673
Zr 1.606 0.927 5.255
Sc 0.000 0.000 13.013
Sc 0.000 0.000 18.279
Sc 0.000 1.855 2.595
Sc 0.000 1.855 7.861
Sc 1.606 0.927 23.431
Sc 1.606 0.927 28.697
```

Results
Distance to the lowest polymorph of the same formula   4 kJ/mol of formula units
E_form   0.0341 eV/atom
Space-group type   No. 160
Electronic total energy   -7.76 eV/atom
Total moment   0.0 Bohr magnetons per cell



No. 11
RbAcHg2 | PBE | relaxed Values from VASP.

The structure in Quantum ESPRESSO input format:
```
&SYSTEM
  ibrav = 0, nat = 12, ntyp = 3
/
ATOMIC_SPECIES
Rb 85.47 Rb.upf
Ac 227.00 Ac.upf
Hg 200.59 Hg.upf
CELL_PARAMETERS angstrom
4.342 0.000 0.000
-2.171 3.760 0.000
0.000 0.000 30.013
ATOMIC_POSITIONS angstrom
Rb 0.000 0.000 0.000
Rb 0.000 2.507 20.008
Rb 2.171 1.253 10.004
Ac 0.000 0.000 15.006
Ac 0.000 2.507 5.002
Ac 2.171 1.253 25.011
Hg 0.000 0.000 7.223
Hg 0.000 0.000 22.790
Hg 0.000 2.507 12.786
Hg 0.000 2.507 27.231
Hg 2.171 1.253 2.781
Hg 2.171 1.253 17.227
```

Results
E_form   -0.1928 eV/atom
Space-group type   No. 166
Electronic total energy   -1.61 eV/atom
Total moment   0.0 Bohr magnetons per cell



No. 12
Pm5Bi5H | PBE | relaxed Values from VASP.

The structure in Quantum ESPRESSO input format:
```
&SYSTEM
  ibrav = 0, nat = 11, ntyp = 3
/
ATOMIC_SPECIES
Pm 145.00 Pm.upf
Bi 208.98 Bi.upf
H 1.01 H.upf
CELL_PARAMETERS angstrom
7.104 -3.153 0.000
7.104 3.153 0.000
-3.121 0.000 8.365
ATOMIC_POSITIONS angstrom
Pm 0.000 0.000 0.000
Pm 4.054 0.000 1.380
Pm 2.705 0.000 5.700
Pm 8.382 0.000 2.665
Pm 7.032 0.000 6.985
Bi -0.372 0.000 6.758
Bi 1.205 0.000 2.886
Bi 5.543 0.000 4.183
Bi 9.882 0.000 5.480
Bi 11.458 0.000 1.607
H 7.104 0.000 0.000
```

Results
Space-group type   No. 12
Electronic total energy   -4.71 eV/atom
Total moment   0.0 Bohr magnetons per cell



No. 13
CdOs | PBE | relaxed Values from VASP.

The structure in Quantum ESPRESSO input format:
```
&SYSTEM
  ibrav = 0, nat = 8, ntyp = 2
/
ATOMIC_SPECIES
Cd 112.41 Cd.upf
Os 190.23 Os.upf
CELL_PARAMETERS angstrom
4.221 0.000 0.000
0.000 4.623 0.000
0.000 0.000 7.411
ATOMIC_POSITIONS angstrom
Cd 0.000 1.156 0.820
Cd 0.000 3.467 6.592
Cd 2.110 1.156 2.886
Cd 2.110 3.467 4.526
Os 0.000 1.156 4.950
Os 0.000 3.467 2.461
Os 2.110 1.156 6.167
Os 2.110 3.467 1.244
```

Results
E_form   0.6979 eV/atom
Space-group type   No. 74
Electronic total energy   -5.37 eV/atom
Total moment   0.0 Bohr magnetons per cell



No. 14
Cs3TbSm2Te6 | PBE | relaxed Values from VASP.

The structure in Quantum ESPRESSO input format:
```
&SYSTEM
  ibrav = 0, nat = 12, ntyp = 4
/
ATOMIC_SPECIES
Cs 132.91 Cs.upf
Tb 158.93 Tb.upf
Sm 150.36 Sm.upf
Te 127.60 Te.upf
CELL_PARAMETERS angstrom
3.993 -6.916 0.000
3.993 6.916 0.000
-2.663 0.000 8.935
ATOMIC_POSITIONS angstrom
Cs 0.000 0.000 0.000
Cs 3.993 2.320 0.000
Cs 3.993 -2.320 0.000
Tb 2.661 0.000 4.467
Sm 2.661 4.612 4.467
Sm 2.661 -4.612 4.467
Te 1.345 2.280 2.752
Te 0.029 0.000 6.186
Te 1.345 -2.280 2.752
Te 3.977 2.280 6.183
Te 5.294 0.000 2.749
Te 3.977 -2.280 6.183
```

Results
Space-group type   No. 12
Electronic total energy   -4.36 eV/atom
Total moment   0.0 Bohr magnetons per cell



No. 15
ZrCd2Pt | PBE | relaxed Values from VASP.

The structure in Quantum ESPRESSO input format:
```
&SYSTEM
  ibrav = 0, nat = 16, ntyp = 3
/
ATOMIC_SPECIES
Zr 91.22 Zr.upf
Cd 112.41 Cd.upf
Pt 195.08 Pt.upf
CELL_PARAMETERS angstrom
6.734 0.000 0.000
0.000 6.734 0.000
0.000 0.000 6.734
ATOMIC_POSITIONS angstrom
Zr 0.000 0.000 0.000
Zr 0.000 3.367 3.367
Zr 3.367 0.000 3.367
Zr 3.367 3.367 0.000
Cd 1.683 1.683 1.683
Cd 1.683 1.683 5.050
Cd 1.683 5.050 1.683
Cd 1.683 5.050 5.050
Cd 5.050 1.683 1.683
Cd 5.050 1.683 5.050
Cd 5.050 5.050 1.683
Cd 5.050 5.050 5.050
Pt 0.000 0.000 3.367
Pt 0.000 3.367 0.000
Pt 3.367 0.000 0.000
Pt 3.367 3.367 3.367
```

Results
E_form   -0.2518 eV/atom
Space-group type   No. 225
Electronic total energy   -4.36 eV/atom
Total moment   0.0 Bohr magnetons per cell



No. 16
LaNbTe2Br | PBE | relaxed Values from VASP.

The structure in Quantum ESPRESSO input format:
```
&SYSTEM
  ibrav = 0, nat = 5, ntyp = 4
/
ATOMIC_SPECIES
La 138.91 La.upf
Nb 92.91 Nb.upf
Te 127.60 Te.upf
Br 79.90 Br.upf
CELL_PARAMETERS angstrom
6.176 0.000 0.000
0.000 6.176 0.000
0.000 0.000 5.549
ATOMIC_POSITIONS angstrom
La 0.000 0.000 0.000
Nb 3.088 3.088 2.775
Te 0.000 3.088 0.000
Te 3.088 0.000 0.000
Br 0.000 0.000 2.775
```

Results
Space-group type   No. 123
Electronic total energy   -4.43 eV/atom
Total moment   3.0 Bohr magnetons per cell



No. 17
CrSiHg2Os | PBE | relaxed Values from VASP.

The structure in Quantum ESPRESSO input format:
```
&SYSTEM
  ibrav = 0, nat = 5, ntyp = 4
/
ATOMIC_SPECIES
Cr 52.00 Cr.upf
Si 28.09 Si.upf
Hg 200.59 Hg.upf
Os 190.23 Os.upf
CELL_PARAMETERS angstrom
4.879 0.000 0.000
0.000 4.879 0.000
0.000 0.000 4.471
ATOMIC_POSITIONS angstrom
Cr 0.000 0.000 0.000
Si 2.440 2.440 2.236
Hg 0.000 2.440 2.236
Hg 2.440 0.000 2.236
Os 2.440 2.440 0.000
```

Results
Space-group type   No. 123
Electronic total energy   -3.82 eV/atom
Total moment   0.1 Bohr magnetons per cell



No. 18
CsCaZn2W | PBE | relaxed Values from VASP.

The structure in Quantum ESPRESSO input format:
```
&SYSTEM
  ibrav = 0, nat = 5, ntyp = 4
/
ATOMIC_SPECIES
Cs 132.91 Cs.upf
Ca 40.08 Ca.upf
Zn 65.41 Zn.upf
W 183.84 W.upf
CELL_PARAMETERS angstrom
5.804 0.000 0.000
0.000 5.804 0.000
0.000 0.000 7.156
ATOMIC_POSITIONS angstrom
Cs 0.000 0.000 0.000
Ca 0.000 0.000 3.578
Zn 0.000 2.902 3.578
Zn 2.902 0.000 3.578
W 2.902 2.902 0.000
```

Results
E_form   1.8488 eV/atom
Space-group type   No. 123
Electronic total energy   -1.82 eV/atom
Total moment   5.2 Bohr magnetons per cell